1.
The following is a DFT calculation (PBE-GGA) of crystalline Ho6Mg5Sb at its relaxed geometry.

D(E_F): 11.65 states/eV/cell
Total DFT energy (no corrections): -3.52 eV/atom
Raw formation energy: -0.226 eV per atom
SG: No. 65

a b c (Å): 8.4852 8.4852 7.3728
angles (deg): 90.00 90.00 143.19
Last column: nearest neighbours and their distance in Å.
Fractional positions:
Ho: 0.0000 0.0000 0.2472  2 Sb 3.24, 6 Mg 3.25-3.36
Ho: 0.0000 0.0000 0.7528  2 Sb 3.24, 6 Mg 3.25-3.36
Ho: 0.3343 0.6657 0.2531  7 Mg 3.17-3.28, 1 Sb 3.26
Ho: 0.3343 0.6657 0.7469  7 Mg 3.17-3.28, 1 Sb 3.26
Ho: 0.6657 0.3343 0.2531  7 Mg 3.17-3.28, 1 Sb 3.26
Ho: 0.6657 0.3343 0.7469  7 Mg 3.17-3.28, 1 Sb 3.26
Mg: 0.1651 0.8349 0.5000  8 Ho 3.24-3.28
Mg: 0.1751 0.8249 0.0000  8 Ho 3.17-3.36
Mg: 0.5000 0.5000 0.5000  8 Ho 3.23-3.26
Mg: 0.8249 0.1751 0.0000  8 Ho 3.17-3.36
Mg: 0.8349 0.1651 0.5000  8 Ho 3.24-3.28
Sb: 0.5000 0.5000 0.0000  8 Ho 3.24-3.26


2.
The following is a DFT calculation (PBE-GGA) of crystalline Na3Li8 at its relaxed geometry.

D(E_F): 4.87 states/eV/cell
Total DFT energy (no corrections): -1.69 eV/atom
SG: No. 71

a b c (Å): 16.7917 16.7917 16.7917
angles (deg): 169.33 162.00 20.98
Last column: nearest neighbours and their distance in Å.
Fractional positions:
Na: 0.0000 0.0000 0.0000  2 Na 3.12, 12 Li 3.42-3.45
Na: 0.3599 0.8599 0.5000  2 Na 3.12, 12 Li 3.42-3.47
Na: 0.6401 0.1401 0.5000  2 Na 3.12, 12 Li 3.42-3.47
Li: 0.0932 0.5932 0.5000  5 Li 3.04-3.12
Li: 0.1863 0.6863 0.5000  7 Li 3.06-3.12, 4 Na 3.42
Li: 0.2660 0.2660 0.0000  10 Li 3.06-3.23
Li: 0.4533 0.4533 0.0000  5 Li 3.04-3.12
Li: 0.5467 0.5467 0.0000  5 Li 3.04-3.12
Li: 0.7340 0.7340 0.0000  10 Li 3.06-3.23
Li: 0.8137 0.3137 0.5000  7 Li 3.06-3.12, 4 Na 3.42
Li: 0.9068 0.4068 0.5000  5 Li 3.04-3.12


3.
The following is a DFT calculation (PBE-GGA) of crystalline Ta2AlTl at its relaxed geometry.

D(E_F): 1.75 states/eV/cell
Total DFT energy (no corrections): -7.22 eV/atom
SG: No. 10

a b c (Å): 2.9373 4.4126 5.8368
angles (deg): 90.00 98.48 90.00
Last column: nearest neighbours and their distance in Å.
Fractional positions:
Ta: 0.0356 0.0000 0.2706  3 Ta 2.72-2.94, 2 Al 2.83, 2 Tl 3.02
Ta: 0.9644 0.0000 0.7294  3 Ta 2.72-2.94, 2 Al 2.83, 2 Tl 3.02
Al: 0.5000 0.5000 0.5000  8 Ta 2.83-3.12, 2 Tl 2.92, 2 Al 2.94
Tl: 0.5000 0.5000 0.0000  2 Al 2.92, 2 Tl 2.94, 8 Ta 3.02-3.14


4.
The following is a DFT calculation (PBE-GGA) of crystalline SrNdSn2 at its relaxed geometry.

D(E_F): 2.48 states/eV/cell
Total DFT energy (no corrections): -4.25 eV/atom
SG: No. 123

a b c (Å): 3.6066 3.6066 9.3344
angles (deg): 90.00 90.00 90.00
Last column: nearest neighbours and their distance in Å.
Fractional positions:
Sr: 0.0000 0.0000 0.0000  8 Sn 3.51, 4 Sr 3.61
Nd: 0.0000 0.0000 0.5000  8 Sn 3.40, 4 Nd 3.61
Sn: 0.5000 0.5000 0.2587  4 Nd 3.40, 4 Sr 3.51, 4 Sn 3.61
Sn: 0.5000 0.5000 0.7413  4 Nd 3.40, 4 Sr 3.51, 4 Sn 3.61


5.
The following is a DFT calculation (PBE-GGA) of crystalline InSb2TePb at its relaxed geometry.

D(E_F): 6.31 states/eV/cell
Total DFT energy (no corrections): -2.92 eV/atom
Raw formation energy: 0.648 eV per atom
SG: No. 123

a b c (Å): 5.8386 5.8386 5.9363
angles (deg): 90.00 90.00 90.00
Last column: nearest neighbours and their distance in Å.
Fractional positions:
In: 0.0000 0.0000 0.0000  4 Te 4.13, 8 Sb 4.16
Sb: 0.0000 0.5000 0.5000  2 Pb 2.92
Sb: 0.5000 0.0000 0.5000  2 Pb 2.92
Te: 0.5000 0.5000 0.0000  2 Pb 2.97
Pb: 0.5000 0.5000 0.5000  4 Sb 2.92, 2 Te 2.97


6.
The following is a DFT calculation (PBE-GGA) of crystalline Tb2Pr6Tm3 at its relaxed geometry.

D(E_F): 16.17 states/eV/cell
Total DFT energy (no corrections): -4.36 eV/atom
SG: No. 139

a b c (Å): 17.4819 17.4819 17.4819
angles (deg): 164.35 164.35 22.20
Last column: nearest neighbours and their distance in Å.
Fractional positions:
Tb: 0.0446 0.0446 0.0000  1 Tb 3.06
Tb: 0.9554 0.9554 0.0000  1 Tb 3.06
Pr: 0.1199 0.6199 0.5000  4 Pr 3.37, 2 Tm 3.44, 2 Tb 3.51
Pr: 0.2077 0.2077 0.0000  5 Tm 3.41-3.43
Pr: 0.3801 0.8801 0.5000  4 Pr 3.37, 2 Tm 3.44, 2 Tb 3.51
Pr: 0.6199 0.1199 0.5000  4 Pr 3.37, 2 Tm 3.44, 2 Tb 3.51
Pr: 0.7923 0.7923 0.0000  5 Tm 3.41-3.43
Pr: 0.8801 0.3801 0.5000  4 Pr 3.37, 2 Tm 3.44, 2 Tb 3.51
Tm: 0.3075 0.3075 0.0000  9 Pr 3.41-3.44
Tm: 0.5000 0.5000 0.0000  8 Tb 3.70
Tm: 0.6925 0.6925 0.0000  9 Pr 3.41-3.44